ScBeRe | OQMD | GGA-PBE | optimized geometry; total energy = -6.61 eV/atom; space group = F-43m, No. 216; total magnetization = 0.007 μB per cell; V = 17.6 Å³/atom; E above lowest polymorph = 0.000 kcal/mol of atoms
1.0
0.000 2.975 2.975
2.975 0.000 2.975
2.975 2.975 0.000
Be Re Sc
1 1 1
Direct
0.250 0.250 0.250
0.000 0.000 0.000
0.750 0.750 0.750